Computed, not measured: BeCrRu2 at its PBEsol-relaxed geometry at the SCAN level of DFT.

Calculated values
The calculated formation energy comes out at -244 meV per atom. The magnetic moment comes out at 0.00 μB/atom.

Structure (CIF):
```
data_BeCrRu2
_symmetry_space_group_name_H-M 'P 4/m m m'
_symmetry_Int_Tables_number 123
_symmetry_space_group_name_Hall '-P 4 2'
_cell_length_a 2.820
_cell_length_b 2.820
_cell_length_c 5.749
_cell_angle_alpha 90.00
_cell_angle_beta 90.00
_cell_angle_gamma 90.00
loop_
_atom_site_label
_atom_site_type_symbol
_atom_site_fract_x
_atom_site_fract_y
_atom_site_fract_z
Be1 Be 0.000 0.000 0.000
Cr1 Cr 0.000 0.000 0.500
Ru1 Ru 0.500 0.500 0.236
```

=====

Computed, not measured: Li2MnVP2O8F2 at its PBEsol-relaxed geometry at the SCAN level of DFT.

Calculated values
The magnetic moment comes out at 0.38 μB/atom. The value obtained for the energy relative to the elements, uncorrected is -2.6629 eV per atom.

Structure (CIF):
```
data_Li2MnVP2O8F2
_symmetry_space_group_name_H-M 'P -1'
_symmetry_Int_Tables_number 2
_cell_length_a 5.133
_cell_length_b 5.275
_cell_length_c 7.302
_cell_angle_alpha 109.41
_cell_angle_beta 104.83
_cell_angle_gamma 98.54
loop_
_symmetry_equiv_pos_as_xyz
'x,y,z'
'-x,-y,-z'
loop_
_atom_site_label
_atom_site_type_symbol
_atom_site_fract_x
_atom_site_fract_y
_atom_site_fract_z
Li1 Li 0.084 0.435 0.314
Mn1 Mn 0.500 0.500 0.000
V1 V 0.000 0.000 0.500
P1 P 0.449 0.122 0.264
O1 O 0.231 0.777 0.617
O2 O 0.293 0.155 0.424
O3 O 0.355 0.328 0.167
O4 O 0.363 0.823 0.108
F1 F 0.112 0.318 0.754
```

=====

Computed, not measured: Sb2Au at its PBEsol-relaxed geometry at the SCAN level of DFT.

Calculated values
The magnetic moment comes out at 0.00 μB/atom. The value obtained for the energy relative to the elements, uncorrected is -0.1537 eV per atom.

Structure (CIF):
```
data_Sb2Au
_symmetry_space_group_name_H-M 'P -3 m 1'
_symmetry_Int_Tables_number 164
_symmetry_space_group_name_Hall '-P 3 2"'
_cell_length_a 4.1108
_cell_length_b 4.1108
_cell_length_c 4.9895
_cell_angle_alpha 90.00
_cell_angle_beta 90.00
_cell_angle_gamma 120.00
loop_
_atom_site_label
_atom_site_type_symbol
_atom_site_fract_x
_atom_site_fract_y
_atom_site_fract_z
Sb1 Sb 0.3333 0.6667 0.2859
Au1 Au 0.0000 0.0000 0.0000
```

=====

Computed, not measured: NaCr5Se8 at its PBEsol-relaxed geometry at the SCAN level of DFT.

Calculated values
The magnetic moment comes out at 1.07 μB/atom. The value obtained for the energy relative to the elements, uncorrected is -0.9367 eV per atom.

Structure (CIF):
```
data_NaCr5Se8
_symmetry_space_group_name_H-M 'C 1 2/m 1'
_symmetry_Int_Tables_number 12
_cell_length_a 18.705
_cell_length_b 3.614
_cell_length_c 8.725
_cell_angle_alpha 90.00
_cell_angle_beta 105.58
_cell_angle_gamma 90.00
loop_
_symmetry_equiv_pos_as_xyz
'x,y,z'
'-x,-y,-z'
'-x,y,-z'
'x,-y,z'
'x+1/2,y+1/2,z'
'-x+1/2,-y+1/2,-z'
'-x+1/2,y+1/2,-z'
'x+1/2,-y+1/2,z'
loop_
_atom_site_label
_atom_site_type_symbol
_atom_site_fract_x
_atom_site_fract_y
_atom_site_fract_z
Na1 Na 0.000 0.000 0.000
Cr1 Cr 0.000 0.500 0.500
Cr2 Cr 0.156 0.000 0.469
Cr3 Cr 0.204 0.000 0.834
Se1 Se 0.075 0.000 0.655
Se2 Se 0.081 0.500 0.311
Se3 Se 0.169 0.500 0.993
Se4 Se 0.237 0.500 0.654
```

=====

Computed, not measured: LiWNO2 at its PBEsol-relaxed geometry at the SCAN level of DFT.

Calculated values
The magnetic moment comes out at 0.00 μB/atom. The value obtained for the energy relative to the elements, uncorrected is -1.4699 eV per atom.

Structure (CIF):
```
data_LiWNO2
_symmetry_space_group_name_H-M 'P 4/m m m'
_symmetry_Int_Tables_number 123
_symmetry_space_group_name_Hall '-P 4 2'
_cell_length_a 3.858
_cell_length_b 3.858
_cell_length_c 3.905
_cell_angle_alpha 90.00
_cell_angle_beta 90.00
_cell_angle_gamma 90.00
loop_
_atom_site_label
_atom_site_type_symbol
_atom_site_fract_x
_atom_site_fract_y
_atom_site_fract_z
Li1 Li 0.000 0.000 0.000
W1 W 0.500 0.500 0.500
N1 N 0.500 0.500 0.000
O1 O 0.000 0.500 0.500
```

=====

Computed, not measured: Li2NiOs at its PBEsol-relaxed geometry at the SCAN level of DFT.

Calculated values
The calculated formation energy comes out at 38 meV per atom. The magnetic moment comes out at 0.19 μB/atom. The distance to the lowest polymorph of the same formula is 12 meV per atom.

Structure (CIF):
```
data_Li2NiOs
_symmetry_space_group_name_H-M 'C 1 2/m 1'
_symmetry_Int_Tables_number 12
_cell_length_a 5.002
_cell_length_b 8.808
_cell_length_c 2.485
_cell_angle_alpha 90.00
_cell_angle_beta 116.97
_cell_angle_gamma 90.00
loop_
_symmetry_equiv_pos_as_xyz
'x,y,z'
'-x,-y,-z'
'-x,y,-z'
'x,-y,z'
'x+1/2,y+1/2,z'
'-x+1/2,-y+1/2,-z'
'-x+1/2,y+1/2,-z'
'x+1/2,-y+1/2,z'
loop_
_atom_site_label
_atom_site_type_symbol
_atom_site_fract_x
_atom_site_fract_y
_atom_site_fract_z
Li1 Li 0.250 0.250 0.000
Ni1 Ni 0.000 0.000 0.500
Os1 Os 0.000 0.500 0.500
```

=====

Computed, not measured: Zn2SbPt at its PBEsol-relaxed geometry at the SCAN level of DFT.

Calculated values
The magnetic moment comes out at 0.00 μB/atom. The value obtained for the energy relative to the elements, uncorrected is -0.0498 eV per atom.

Structure (CIF):
```
data_Zn2SbPt
_symmetry_space_group_name_H-M 'P 4/m m m'
_symmetry_Int_Tables_number 123
_symmetry_space_group_name_Hall '-P 4 2'
_cell_length_a 4.087
_cell_length_b 4.087
_cell_length_c 3.999
_cell_angle_alpha 90.00
_cell_angle_beta 90.00
_cell_angle_gamma 90.00
loop_
_atom_site_label
_atom_site_type_symbol
_atom_site_fract_x
_atom_site_fract_y
_atom_site_fract_z
Zn1 Zn 0.000 0.500 0.000
Sb1 Sb 0.000 0.000 0.500
Pt1 Pt 0.500 0.500 0.500
```

=====

Computed, not measured: ZnIn2Se at its PBEsol-relaxed geometry at the SCAN level of DFT.

Calculated values
The magnetic moment comes out at 0.00 μB/atom. The value obtained for the energy relative to the elements, uncorrected is -0.1242 eV per atom. The distance to the lowest polymorph of the same formula is 0 meV per atom.

Structure (CIF):
```
data_ZnIn2Se
_symmetry_space_group_name_H-M 'P 1 m 1'
_symmetry_Int_Tables_number 6
_cell_length_a 5.113
_cell_length_b 3.775
_cell_length_c 5.187
_cell_angle_alpha 90.00
_cell_angle_beta 111.29
_cell_angle_gamma 90.00
loop_
_symmetry_equiv_pos_as_xyz
'x,y,z'
'x,-y,z'
loop_
_atom_site_label
_atom_site_type_symbol
_atom_site_fract_x
_atom_site_fract_y
_atom_site_fract_z
Zn1 Zn 0.000 0.000 0.000
In1 In 0.456 0.000 0.539
In2 In 0.758 0.500 0.242
Se1 Se 0.199 0.500 0.799
```

=====

Q: magnetic moment of number 1 (BeCrRu2)?
A: 0.00 μB/atom

=====

Q: Which value of magnetic moment does entry 7 give?
A: 0.00 μB/atom